No. 1
Here is crystalline Ce2PuH12Rh3 at its relaxed geometry from the Alexandria database. Energies are from PBE-GGA.

abc: 6.075 6.075 6.075
angles: 65.99 65.99 65.99
Positions (direct):
Ce1 0.097 0.097 0.097
Ce2 0.903 0.903 0.903
Pu1 0.500 0.500 0.500
H1 0.069 0.644 0.644
H2 0.215 0.215 0.625
H3 0.215 0.625 0.215
H4 0.356 0.356 0.931
H5 0.356 0.931 0.356
H6 0.375 0.785 0.785
H7 0.625 0.215 0.215
H8 0.644 0.069 0.644
H9 0.644 0.644 0.069
H10 0.785 0.375 0.785
H11 0.785 0.785 0.375
H12 0.931 0.356 0.356
Rh1 0.000 0.500 0.500
Rh2 0.500 0.000 0.500
Rh3 0.500 0.500 0.000

Output
VASP energy	-5.212	eV per atom



No. 2
Here is crystalline CePuHS2 at its relaxed geometry from the Alexandria database. Energies are from PBE-GGA.

abc: 3.975 3.975 11.804
angles: 90.00 90.00 90.00
Positions (direct):
Ce1 0.250 0.250 0.116
Ce2 0.750 0.750 0.884
Pu1 0.250 0.250 0.604
Pu2 0.750 0.750 0.396
H1 0.250 0.750 0.500
H2 0.750 0.250 0.500
S1 0.250 0.250 0.346
S2 0.250 0.250 0.867
S3 0.750 0.750 0.133
S4 0.750 0.750 0.654

Output
VASP energy	-7.881	eV per atom



No. 3
Here is crystalline CePuHSe2 at its relaxed geometry from the Alexandria database. Energies are from PBE-GGA.

abc: 4.130 4.130 12.462
angles: 90.00 90.00 90.00
Positions (direct):
Ce1 0.250 0.250 0.113
Ce2 0.750 0.750 0.887
Pu1 0.250 0.250 0.593
Pu2 0.750 0.750 0.407
H1 0.250 0.750 0.500
H2 0.750 0.250 0.500
Se1 0.250 0.250 0.344
Se2 0.250 0.250 0.868
Se3 0.750 0.750 0.132
Se4 0.750 0.750 0.656

Output
VASP energy	-7.464	eV per atom



No. 4
Here is crystalline CePu2SnH at its relaxed geometry from the Alexandria database. Energies are from PBE-GGA.

abc: 4.772 4.772 4.934
angles: 90.00 90.00 90.00
Positions (direct):
Ce1 0.000 0.000 0.000
Pu1 0.000 0.500 0.500
Pu2 0.500 0.000 0.500
Sn1 0.500 0.500 0.000
H1 0.000 0.000 0.500

Output
VASP energy	-8.761	eV per atom



No. 5
Here is crystalline Ce2PuSnH at its relaxed geometry from the Alexandria database. Energies are from PBE-GGA.

abc: 4.915 4.915 4.663
angles: 90.00 90.00 90.00
Positions (direct):
Ce1 0.000 0.500 0.000
Ce2 0.500 0.000 0.000
Pu1 0.000 0.000 0.500
Sn1 0.500 0.500 0.500
H1 0.000 0.000 0.000

Output
VASP energy	-7.142	eV per atom



No. 6
Here is crystalline Ce6PuTl2H at its relaxed geometry from the Alexandria database. Energies are from PBE-GGA.

abc: 7.098 7.098 7.098
angles: 120.08 120.08 89.86
Positions (direct):
Ce1 0.244 0.244 0.000
Ce2 0.244 0.244 0.488
Ce3 0.244 0.756 0.000
Ce4 0.756 0.244 0.000
Ce5 0.756 0.756 0.000
Ce6 0.756 0.756 0.512
Pu1 0.000 0.000 0.000
Tl1 0.250 0.750 0.500
Tl2 0.750 0.250 0.500
H1 0.500 0.500 0.000

Output
VASP energy	-6.127	eV per atom